Compound: LiThGe2Pt2
Source: Alexandria via LeMat-Bulk
Functional: PBE
Structure: optimized geometry

Computed properties:
DFT total energy (eV per atom): -5.99
Calculated volume (A^3/atom): 18.6
Energy of formation (eV/f.u.): -5.3
Fermi-level density of states (states/eV per atom): 0.495
Theoretical density (g cm⁻³): 11.54

CIF file:
```
data_LiThGe2Pt2
_space_group_name_H-M_alt 'P 1'
_space_group_IT_number 1
_cell_length_a 4.369
_cell_length_b 4.369
_cell_length_c 6.743
_cell_angle_alpha 90.00
_cell_angle_beta 90.00
_cell_angle_gamma 120.00
loop_
_space_group_symop_operation_xyz
'x,y,z'
loop_
_atom_site_label
_atom_site_type_symbol
_atom_site_fract_x
_atom_site_fract_y
_atom_site_fract_z
Li1 Li 0.000 0.000 0.000
Th1 Th 0.000 0.000 0.500
Ge1 Ge 0.333 0.667 0.813
Ge2 Ge 0.667 0.333 0.187
Pt1 Pt 0.333 0.667 0.216
Pt2 Pt 0.667 0.333 0.784
```

Compound: Cd2GaBi
Source: Alexandria via LeMat-Bulk
Functional: PBE
Structure: optimized geometry

Computed properties:
DFT total energy (eV per atom): -2.05
Calculated volume (A^3/atom): 25.9
Energy of formation (eV/f.u.): 0.5
Fermi-level density of states (states/eV per atom): 0.572
Theoretical density (g cm⁻³): 8.06
Energy above the most stable polymorph in this dataset (meV per atom): 59.6

CIF file:
```
data_Cd2GaBi
_space_group_name_H-M_alt 'P 1'
_space_group_IT_number 1
_cell_length_a 6.588
_cell_length_b 6.588
_cell_length_c 6.588
_cell_angle_alpha 102.25
_cell_angle_beta 102.25
_cell_angle_gamma 125.15
loop_
_space_group_symop_operation_xyz
'x,y,z'
loop_
_atom_site_label
_atom_site_type_symbol
_atom_site_fract_x
_atom_site_fract_y
_atom_site_fract_z
Cd1 Cd 0.101 0.125 0.476
Cd2 Cd 0.375 0.899 0.024
Cd3 Cd 0.649 0.625 0.524
Cd4 Cd 0.875 0.351 0.976
Ga1 Ga 0.000 0.000 0.000
Ga2 Ga 0.750 0.250 0.500
Bi1 Bi 0.250 0.750 0.500
Bi2 Bi 0.500 0.500 0.000
```

Compound: La7Pm2Pr2
Source: Alexandria via LeMat-Bulk
Functional: PBE
Structure: optimized geometry

Computed properties:
DFT total energy (eV per atom): -4.78
Calculated volume (A^3/atom): 36.5
Energy of formation (eV/f.u.): 0.9
Fermi-level density of states (states/eV per atom): 1.398
Theoretical density (g cm⁻³): 6.39
Energy above the most stable polymorph in this dataset (meV per atom): 0.0

CIF file:
```
data_La7Pm2Pr2
_space_group_name_H-M_alt 'P 1'
_space_group_IT_number 1
_cell_length_a 10.747
_cell_length_b 10.747
_cell_length_c 3.767
_cell_angle_alpha 95.97
_cell_angle_beta 95.97
_cell_angle_gamma 68.27
loop_
_space_group_symop_operation_xyz
'x,y,z'
loop_
_atom_site_label
_atom_site_type_symbol
_atom_site_fract_x
_atom_site_fract_y
_atom_site_fract_z
La1 La 0.000 0.000 0.000
La2 La 0.084 0.586 0.819
La3 La 0.399 0.399 0.250
La4 La 0.414 0.916 0.181
La5 La 0.586 0.084 0.819
La6 La 0.601 0.601 0.750
La7 La 0.916 0.414 0.181
Pm1 Pm 0.252 0.748 0.500
Pm2 Pm 0.748 0.252 0.500
Pr1 Pr 0.206 0.206 0.667
Pr2 Pr 0.794 0.794 0.333
```

Compound: PmHoCu2Si2
Source: Alexandria via LeMat-Bulk
Functional: PBE
Structure: optimized geometry

Computed properties:
DFT total energy (eV per atom): -5.39
Calculated volume (A^3/atom): 19.1
Fermi-level density of states (states/eV per atom): 0.287
Theoretical density (g cm⁻³): 7.14
Energy relative to the elements, uncorrected (eV/atom): -0.657

CIF file:
```
data_PmHoCu2Si2
_space_group_name_H-M_alt 'P 1'
_space_group_IT_number 1
_cell_length_a 4.180
_cell_length_b 4.180
_cell_length_c 7.583
_cell_angle_alpha 90.00
_cell_angle_beta 90.00
_cell_angle_gamma 120.00
loop_
_space_group_symop_operation_xyz
'x,y,z'
loop_
_atom_site_label
_atom_site_type_symbol
_atom_site_fract_x
_atom_site_fract_y
_atom_site_fract_z
Pm1 Pm 0.000 0.000 0.000
Ho1 Ho 0.000 0.000 0.500
Cu1 Cu 0.333 0.667 0.736
Cu2 Cu 0.667 0.333 0.264
Si1 Si 0.333 0.667 0.259
Si2 Si 0.667 0.333 0.741
```

Compound: Zr2TlIn
Source: Alexandria via LeMat-Bulk
Functional: PBE
Structure: optimized geometry

Computed properties:
DFT total energy (eV per atom): -5.74
Calculated volume (A^3/atom): 22.5
Energy of formation (eV/f.u.): -0.8
Fermi-level density of states (states/eV per atom): 0.621
Theoretical density (g cm⁻³): 9.25
Energy above the most stable polymorph in this dataset (meV per atom): 2.1

CIF file:
```
data_Zr2TlIn
_space_group_name_H-M_alt 'P 1'
_space_group_IT_number 1
_cell_length_a 4.525
_cell_length_b 4.525
_cell_length_c 4.398
_cell_angle_alpha 90.00
_cell_angle_beta 90.00
_cell_angle_gamma 90.00
loop_
_space_group_symop_operation_xyz
'x,y,z'
loop_
_atom_site_label
_atom_site_type_symbol
_atom_site_fract_x
_atom_site_fract_y
_atom_site_fract_z
Zr1 Zr 0.000 0.500 0.000
Zr2 Zr 0.500 0.000 0.000
Tl1 Tl 0.000 0.000 0.500
In1 In 0.500 0.500 0.500
```

Compound: Ba4Pd3Pb
Source: Alexandria via LeMat-Bulk
Functional: PBE
Structure: optimized geometry

Computed properties:
DFT total energy (eV per atom): -3.86
Calculated volume (A^3/atom): 34.5
Energy of formation (eV/f.u.): -3.9
Fermi-level density of states (states/eV per atom): 0.719
Theoretical density (g cm⁻³): 6.47

CIF file:
```
data_Ba4Pd3Pb
_space_group_name_H-M_alt 'P 1'
_space_group_IT_number 1
_cell_length_a 4.674
_cell_length_b 4.960
_cell_length_c 11.916
_cell_angle_alpha 90.00
_cell_angle_beta 90.00
_cell_angle_gamma 90.00
loop_
_space_group_symop_operation_xyz
'x,y,z'
loop_
_atom_site_label
_atom_site_type_symbol
_atom_site_fract_x
_atom_site_fract_y
_atom_site_fract_z
Ba1 Ba 0.000 0.000 0.000
Ba2 Ba 0.000 0.500 0.262
Ba3 Ba 0.500 0.000 0.470
Ba4 Ba 0.500 0.500 0.773
Pd1 Pd 0.000 0.500 0.565
Pd2 Pd 0.500 0.000 0.193
Pd3 Pd 0.500 0.500 0.067
Pb1 Pb 0.000 0.000 0.684
```

Compound: Ca2LaScSe4
Source: Alexandria via LeMat-Bulk
Functional: PBE
Structure: optimized geometry

Computed properties:
DFT total energy (eV per atom): -5.49
Calculated volume (A^3/atom): 25.4
Fermi-level density of states (states/eV per atom): 0.518
Theoretical density (g cm⁻³): 4.74
Energy relative to the elements, uncorrected (eV/atom): -1.843

CIF file:
```
data_Ca2LaScSe4
_space_group_name_H-M_alt 'P 1'
_space_group_IT_number 1
_cell_length_a 7.161
_cell_length_b 4.134
_cell_length_c 7.267
_cell_angle_alpha 90.00
_cell_angle_beta 109.12
_cell_angle_gamma 90.00
loop_
_space_group_symop_operation_xyz
'x,y,z'
loop_
_atom_site_label
_atom_site_type_symbol
_atom_site_fract_x
_atom_site_fract_y
_atom_site_fract_z
Ca1 Ca 0.000 0.000 0.000
Ca2 Ca 0.500 0.500 0.000
La1 La 0.000 0.500 0.500
Sc1 Sc 0.500 0.000 0.500
Se1 Se 0.266 0.000 0.752
Se2 Se 0.268 0.500 0.259
Se3 Se 0.732 0.500 0.741
Se4 Se 0.734 0.000 0.248
```

Compound: CdNi3N
Source: Alexandria via LeMat-Bulk
Functional: PBE
Structure: optimized geometry

Computed properties:
DFT total energy (eV per atom): -2.89
Calculated volume (A^3/atom): 21.0
Fermi-level density of states (states/eV per atom): 1.403
Theoretical density (g cm⁻³): 4.78
Energy above the most stable polymorph in this dataset (meV per atom): 2491.6
Energy relative to the elements, uncorrected (eV/atom): 2.427

CIF file:
```
data_CdNi3N
_space_group_name_H-M_alt 'P 1'
_space_group_IT_number 1
_cell_length_a 4.720
_cell_length_b 4.720
_cell_length_c 4.720
_cell_angle_alpha 90.00
_cell_angle_beta 90.00
_cell_angle_gamma 90.00
loop_
_space_group_symop_operation_xyz
'x,y,z'
loop_
_atom_site_label
_atom_site_type_symbol
_atom_site_fract_x
_atom_site_fract_y
_atom_site_fract_z
Cd1 Cd 0.000 0.000 0.000
Ni1 Ni 0.000 0.000 0.500
Ni2 Ni 0.000 0.500 0.000
Ni3 Ni 0.500 0.000 0.000
N1 N 0.500 0.500 0.500
```

Compound: KMgRu2
Source: Alexandria via LeMat-Bulk
Functional: PBE
Structure: optimized geometry

Computed properties:
DFT total energy (eV per atom): -4.63
Calculated volume (A^3/atom): 21.7
Energy of formation (eV/f.u.): 2.7
Fermi-level density of states (states/eV per atom): 1.143
Theoretical density (g cm⁻³): 5.07

CIF file:
```
data_KMgRu2
_space_group_name_H-M_alt 'P 1'
_space_group_IT_number 1
_cell_length_a 2.699
_cell_length_b 4.457
_cell_length_c 7.228
_cell_angle_alpha 90.00
_cell_angle_beta 90.00
_cell_angle_gamma 90.00
loop_
_space_group_symop_operation_xyz
'x,y,z'
loop_
_atom_site_label
_atom_site_type_symbol
_atom_site_fract_x
_atom_site_fract_y
_atom_site_fract_z
K1 K 0.000 0.000 0.000
Mg1 Mg 0.000 0.000 0.500
Ru1 Ru 0.500 0.500 0.337
Ru2 Ru 0.500 0.500 0.663
```

Compound: GaNiTeN2
Source: Alexandria via LeMat-Bulk
Functional: PBE
Structure: optimized geometry

Computed properties:
DFT total energy (eV per atom): -4.38
Calculated volume (A^3/atom): 17.9
Fermi-level density of states (states/eV per atom): 0.815
Theoretical density (g cm⁻³): 5.28
Energy above the most stable polymorph in this dataset (meV per atom): 183.5
Energy relative to the elements, uncorrected (eV/atom): 1.336

CIF file:
```
data_GaNiTeN2
_space_group_name_H-M_alt 'P 1'
_space_group_IT_number 1
_cell_length_a 3.776
_cell_length_b 3.776
_cell_length_c 6.266
_cell_angle_alpha 90.00
_cell_angle_beta 90.00
_cell_angle_gamma 90.00
loop_
_space_group_symop_operation_xyz
'x,y,z'
loop_
_atom_site_label
_atom_site_type_symbol
_atom_site_fract_x
_atom_site_fract_y
_atom_site_fract_z
Ga1 Ga 0.000 0.000 0.000
Ni1 Ni 0.500 0.500 0.500
Te1 Te 0.000 0.000 0.500
N1 N 0.000 0.500 0.000
N2 N 0.500 0.000 0.000
```

Number 1: total magnetic moment 0.00 μB per atom. Number 2: total magnetic moment 0.00 μB per atom. Number 3: total magnetic moment 0.00 μB per atom. Number 4: total magnetic moment 0.00 μB per atom. Number 5: total magnetic moment 0.00 μB per atom. Number 6: total magnetic moment 0.00 μB per atom. Number 7: total magnetic moment 0.00 μB per atom. Number 8: total magnetic moment 0.69 μB per atom. Number 9: total magnetic moment 0.33 μB per atom. Number 10: total magnetic moment 0.66 μB per atom.